w:
A plane-wave DFT calculation with GGA-PBE was carried out for a geometry-optimized BaBeNiGe structure.

abc: 6.760 6.760 6.760
angles: 90.00 90.00 90.00
Sites, in units of the cell vectors:
Ba1 0.000 0.000 0.000
Ba2 0.000 0.500 0.500
Ba3 0.500 0.000 0.500
Ba4 0.500 0.500 0.000
Be1 0.250 0.250 0.750
Be2 0.250 0.750 0.250
Be3 0.750 0.250 0.250
Be4 0.750 0.750 0.750
Ni1 0.250 0.250 0.250
Ni2 0.250 0.750 0.750
Ni3 0.750 0.250 0.750
Ni4 0.750 0.750 0.250
Ge1 0.000 0.000 0.500
Ge2 0.000 0.500 0.000
Ge3 0.500 0.000 0.000
Ge4 0.500 0.500 0.500

Properties
Calculated volume = 19.308 Å³/atom
Symmetry = No. 216
Total magnetic moment = 0.00 μB per formula unit

***

x:
A plane-wave DFT calculation with GGA-PBE was carried out for a geometry-optimized BaBeNiGe structure.

abc: 6.867 6.867 6.867
angles: 90.00 90.00 90.00
Sites, in units of the cell vectors:
Ba1 0.000 0.000 0.000
Ba2 0.000 0.500 0.500
Ba3 0.500 0.000 0.500
Ba4 0.500 0.500 0.000
Be1 0.250 0.250 0.250
Be2 0.250 0.750 0.750
Be3 0.750 0.250 0.750
Be4 0.750 0.750 0.250
Ni1 0.000 0.000 0.500
Ni2 0.000 0.500 0.000
Ni3 0.500 0.000 0.000
Ni4 0.500 0.500 0.500
Ge1 0.250 0.250 0.750
Ge2 0.250 0.750 0.250
Ge3 0.750 0.250 0.250
Ge4 0.750 0.750 0.750

Properties
Calculated volume = 20.239 Å³/atom
Symmetry = No. 216
Total magnetic moment = 0.01 μB per formula unit

***

y:
A plane-wave DFT calculation with GGA-PBE was carried out for a geometry-optimized BaBeNiGe structure.

abc: 6.924 6.924 6.924
angles: 90.00 90.00 90.00
Sites, in units of the cell vectors:
Ba1 0.000 0.000 0.000
Ba2 0.000 0.500 0.500
Ba3 0.500 0.000 0.500
Ba4 0.500 0.500 0.000
Be1 0.000 0.000 0.500
Be2 0.000 0.500 0.000
Be3 0.500 0.000 0.000
Be4 0.500 0.500 0.500
Ni1 0.250 0.250 0.750
Ni2 0.250 0.750 0.250
Ni3 0.750 0.250 0.250
Ni4 0.750 0.750 0.750
Ge1 0.250 0.250 0.250
Ge2 0.250 0.750 0.750
Ge3 0.750 0.250 0.750
Ge4 0.750 0.750 0.250

Properties
Calculated volume = 20.743 Å³/atom
Symmetry = No. 216
Total magnetic moment = 0.05 μB per formula unit

***

It comes down to w, which is 7.2 kJ/mol of atoms more stable than the next structure.

***

w:
A plane-wave DFT calculation with GGA-PBE was carried out for a geometry-optimized BaBeGePt structure.

abc: 6.876 6.876 6.876
angles: 90.00 90.00 90.00
Sites, in units of the cell vectors:
Ba1 0.000 0.000 0.000
Ba2 0.000 0.500 0.500
Ba3 0.500 0.000 0.500
Ba4 0.500 0.500 0.000
Be1 0.250 0.250 0.250
Be2 0.250 0.750 0.750
Be3 0.750 0.250 0.750
Be4 0.750 0.750 0.250
Ge1 0.250 0.250 0.750
Ge2 0.250 0.750 0.250
Ge3 0.750 0.250 0.250
Ge4 0.750 0.750 0.750
Pt1 0.000 0.000 0.500
Pt2 0.000 0.500 0.000
Pt3 0.500 0.000 0.000
Pt4 0.500 0.500 0.500

Properties
Calculated volume = 20.317 Å³/atom
Symmetry = No. 216
Total magnetic moment = 0.00 μB per formula unit

***

x:
A plane-wave DFT calculation with GGA-PBE was carried out for a geometry-optimized BaBeGePt structure.

abc: 7.058 7.058 7.058
angles: 90.00 90.00 90.00
Sites, in units of the cell vectors:
Ba1 0.000 0.000 0.000
Ba2 0.000 0.500 0.500
Ba3 0.500 0.000 0.500
Ba4 0.500 0.500 0.000
Be1 0.000 0.000 0.500
Be2 0.000 0.500 0.000
Be3 0.500 0.000 0.000
Be4 0.500 0.500 0.500
Ge1 0.250 0.250 0.250
Ge2 0.250 0.750 0.750
Ge3 0.750 0.250 0.750
Ge4 0.750 0.750 0.250
Pt1 0.250 0.250 0.750
Pt2 0.250 0.750 0.250
Pt3 0.750 0.250 0.250
Pt4 0.750 0.750 0.750

Properties
Calculated volume = 21.975 Å³/atom
Symmetry = No. 216
Total magnetic moment = 0.00 μB per formula unit

***

y:
A plane-wave DFT calculation with GGA-PBE was carried out for a geometry-optimized BaBeGePt structure.

abc: 7.014 7.014 7.014
angles: 90.00 90.00 90.00
Sites, in units of the cell vectors:
Ba1 0.000 0.000 0.000
Ba2 0.000 0.500 0.500
Ba3 0.500 0.000 0.500
Ba4 0.500 0.500 0.000
Be1 0.250 0.250 0.750
Be2 0.250 0.750 0.250
Be3 0.750 0.250 0.250
Be4 0.750 0.750 0.750
Ge1 0.000 0.000 0.500
Ge2 0.000 0.500 0.000
Ge3 0.500 0.000 0.000
Ge4 0.500 0.500 0.500
Pt1 0.250 0.250 0.250
Pt2 0.250 0.750 0.750
Pt3 0.750 0.250 0.750
Pt4 0.750 0.750 0.250

Properties
Calculated volume = 21.565 Å³/atom
Symmetry = No. 216
Total magnetic moment = 0.00 μB per formula unit

***

It comes down to w, which is 11.8 kJ/mol of atoms more stable than the next structure.

***

w:
A plane-wave DFT calculation with GGA-PBE was carried out for a geometry-optimized BaHfBe structure.

abc: 6.944 6.944 6.944
angles: 90.00 90.00 90.00
Sites, in units of the cell vectors:
Ba1 0.000 0.000 0.000
Ba2 0.000 0.500 0.500
Ba3 0.500 0.000 0.500
Ba4 0.500 0.500 0.000
Hf1 0.250 0.250 0.250
Hf2 0.250 0.750 0.750
Hf3 0.750 0.250 0.750
Hf4 0.750 0.750 0.250
Be1 0.250 0.250 0.750
Be2 0.250 0.750 0.250
Be3 0.750 0.250 0.250
Be4 0.750 0.750 0.750

Properties
Calculated volume = 27.902 Å³/atom
Symmetry = No. 216
Total magnetic moment = 0.00 μB per formula unit

***

x:
A plane-wave DFT calculation with GGA-PBE was carried out for a geometry-optimized BaHfBe structure.

abc: 6.909 6.909 6.909
angles: 90.00 90.00 90.00
Sites, in units of the cell vectors:
Ba1 0.000 0.000 0.000
Ba2 0.000 0.500 0.500
Ba3 0.500 0.000 0.500
Ba4 0.500 0.500 0.000
Hf1 0.000 0.000 0.500
Hf2 0.000 0.500 0.000
Hf3 0.500 0.000 0.000
Hf4 0.500 0.500 0.500
Be1 0.250 0.250 0.250
Be2 0.250 0.750 0.750
Be3 0.750 0.250 0.750
Be4 0.750 0.750 0.250

Properties
Calculated volume = 27.487 Å³/atom
Symmetry = No. 216
Total magnetic moment = 0.04 μB per formula unit

***

It comes down to x, which is 63.4 kJ/mol of atoms more stable than the next structure.

***

w:
A plane-wave DFT calculation with GGA-PBE was carried out for a geometry-optimized BaHfBePd structure.

abc: 6.883 6.883 6.883
angles: 90.00 90.00 90.00
Sites, in units of the cell vectors:
Ba1 0.000 0.000 0.000
Ba2 0.000 0.500 0.500
Ba3 0.500 0.000 0.500
Ba4 0.500 0.500 0.000
Hf1 0.250 0.250 0.250
Hf2 0.250 0.750 0.750
Hf3 0.750 0.250 0.750
Hf4 0.750 0.750 0.250
Be1 0.000 0.000 0.500
Be2 0.000 0.500 0.000
Be3 0.500 0.000 0.000
Be4 0.500 0.500 0.500
Pd1 0.250 0.250 0.750
Pd2 0.250 0.750 0.250
Pd3 0.750 0.250 0.250
Pd4 0.750 0.750 0.750

Properties
Calculated volume = 20.384 Å³/atom
Symmetry = No. 216
Total magnetic moment = 0.00 μB per formula unit

***

x:
A plane-wave DFT calculation with GGA-PBE was carried out for a geometry-optimized BaHfBePd structure.

abc: 7.116 7.116 7.116
angles: 90.00 90.00 90.00
Sites, in units of the cell vectors:
Ba1 0.000 0.000 0.000
Ba2 0.000 0.500 0.500
Ba3 0.500 0.000 0.500
Ba4 0.500 0.500 0.000
Hf1 0.000 0.000 0.500
Hf2 0.000 0.500 0.000
Hf3 0.500 0.000 0.000
Hf4 0.500 0.500 0.500
Be1 0.250 0.250 0.750
Be2 0.250 0.750 0.250
Be3 0.750 0.250 0.250
Be4 0.750 0.750 0.750
Pd1 0.250 0.250 0.250
Pd2 0.250 0.750 0.750
Pd3 0.750 0.250 0.750
Pd4 0.750 0.750 0.250

Properties
Calculated volume = 22.525 Å³/atom
Symmetry = No. 216
Total magnetic moment = 0.00 μB per formula unit

***

It comes down to x, which is 16.9 kJ/mol of atoms more stable than the next structure.

***

w:
A plane-wave DFT calculation with GGA-PBE was carried out for a geometry-optimized BaBeHg structure.

abc: 7.141 7.141 7.141
angles: 90.00 90.00 90.00
Sites, in units of the cell vectors:
Ba1 0.000 0.000 0.000
Ba2 0.000 0.500 0.500
Ba3 0.500 0.000 0.500
Ba4 0.500 0.500 0.000
Be1 0.250 0.250 0.250
Be2 0.250 0.750 0.750
Be3 0.750 0.250 0.750
Be4 0.750 0.750 0.250
Hg1 0.000 0.000 0.500
Hg2 0.000 0.500 0.000
Hg3 0.500 0.000 0.000
Hg4 0.500 0.500 0.500

Properties
Calculated volume = 30.341 Å³/atom
Symmetry = No. 216

***

x:
A plane-wave DFT calculation with GGA-PBE was carried out for a geometry-optimized BaBeHg structure.

abc: 7.645 7.645 7.645
angles: 90.00 90.00 90.00
Sites, in units of the cell vectors:
Ba1 0.000 0.000 0.000
Ba2 0.000 0.500 0.500
Ba3 0.500 0.000 0.500
Ba4 0.500 0.500 0.000
Be1 0.250 0.250 0.750
Be2 0.250 0.750 0.250
Be3 0.750 0.250 0.250
Be4 0.750 0.750 0.750
Hg1 0.250 0.250 0.250
Hg2 0.250 0.750 0.750
Hg3 0.750 0.250 0.750
Hg4 0.750 0.750 0.250

Properties
Calculated volume = 37.236 Å³/atom
Symmetry = No. 216

***

It comes down to w, which is 31.2 kJ/mol of atoms more stable than the next structure.

***

w:
A plane-wave DFT calculation with GGA-PBE was carried out for a geometry-optimized BaBeIr structure.

abc: 6.477 6.477 6.477
angles: 90.00 90.00 90.00
Sites, in units of the cell vectors:
Ba1 0.000 0.000 0.000
Ba2 0.000 0.500 0.500
Ba3 0.500 0.000 0.500
Ba4 0.500 0.500 0.000
Be1 0.250 0.250 0.250
Be2 0.250 0.750 0.750
Be3 0.750 0.250 0.750
Be4 0.750 0.750 0.250
Ir1 0.000 0.000 0.500
Ir2 0.000 0.500 0.000
Ir3 0.500 0.000 0.000
Ir4 0.500 0.500 0.500

Properties
Calculated volume = 22.643 Å³/atom
Symmetry = No. 216
Total magnetic moment = 0.00 μB per formula unit

***

x:
A plane-wave DFT calculation with GGA-PBE was carried out for a geometry-optimized BaBeIr structure.

abc: 6.710 6.710 6.710
angles: 90.00 90.00 90.00
Sites, in units of the cell vectors:
Ba1 0.000 0.000 0.000
Ba2 0.000 0.500 0.500
Ba3 0.500 0.000 0.500
Ba4 0.500 0.500 0.000
Be1 0.000 0.000 0.500
Be2 0.000 0.500 0.000
Be3 0.500 0.000 0.000
Be4 0.500 0.500 0.500
Ir1 0.250 0.250 0.250
Ir2 0.250 0.750 0.750
Ir3 0.750 0.250 0.750
Ir4 0.750 0.750 0.250

Properties
Calculated volume = 25.175 Å³/atom
Symmetry = No. 216
Total magnetic moment = 0.11 μB per formula unit

***

It comes down to w, which is 5.7 kJ/mol of atoms more stable than the next structure.